A plane-wave DFT calculation with GGA-PBE was carried out for an optimized crystal structure of Er2Sc8Tl3.

E_form: 0.15 eV/atom
Calculated volume: 348.76 Å³/f.u.

Cell and atoms, written as CIF:
```
data_Er2Sc8Tl3
_chemical_formula_sum 'Er6 Sc24 Tl9'
_space_group_name_H-M_alt 'R -3 m'
_space_group_IT_number 166
_space_group_name_Hall '-R 3 2"'
_cell_length_a 6.0135
_cell_length_b 6.0135
_cell_length_c 33.4086
_cell_angle_alpha 90.00
_cell_angle_beta 90.00
_cell_angle_gamma 120.00
loop_
_atom_site_label
_atom_site_type_symbol
_atom_site_fract_x
_atom_site_fract_y
_atom_site_fract_z
Er1 Er 0.0000 0.0000 0.1389
Sc1 Sc 0.0000 0.0000 0.2302
Sc2 Sc 0.0028 0.5014 0.7227
Tl1 Tl 0.0000 0.0000 0.3150
Tl2 Tl 0.0000 0.0000 0.5000
```



A plane-wave DFT calculation with GGA-PBE was carried out for an optimized crystal structure of SrHf2Nb.

E_form: 0.69 eV/atom
ΔE to the lowest computed polymorph: 0.000 eV/f.u.
Calculated volume: 94.62 Å³/f.u.

Cell and atoms, written as CIF:
```
data_SrHf2Nb
_chemical_formula_sum 'Sr4 Hf8 Nb4'
_space_group_name_H-M_alt 'F m -3 m'
_space_group_IT_number 225
_space_group_name_Hall '-F 4 2 3'
_cell_length_a 7.234
_cell_length_b 7.234
_cell_length_c 7.234
_cell_angle_alpha 90.00
_cell_angle_beta 90.00
_cell_angle_gamma 90.00
loop_
_atom_site_label
_atom_site_type_symbol
_atom_site_fract_x
_atom_site_fract_y
_atom_site_fract_z
Sr1 Sr 0.000 0.000 0.000
Hf1 Hf 0.250 0.250 0.250
Nb1 Nb 0.000 0.000 0.500
```



A plane-wave DFT calculation with GGA-PBE was carried out for an optimized crystal structure of CoReBr2.

Raw formation energy: 0.531 eV per atom
ΔE to the lowest computed polymorph: 0.893 eV/f.u.
Calculated volume: 77.84 Å³/f.u.

Cell and atoms, written as CIF:
```
data_CoReBr2
_chemical_formula_sum 'Co1 Re1 Br2'
_space_group_name_H-M_alt 'P 4 m m'
_space_group_IT_number 99
_cell_length_a 3.031
_cell_length_b 3.031
_cell_length_c 8.476
_cell_angle_alpha 90.00
_cell_angle_beta 90.00
_cell_angle_gamma 90.00
loop_
_space_group_symop_operation_xyz
'x,y,z'
'-y,x,z'
'-x,-y,z'
'y,-x,z'
'-x,y,z'
'y,x,z'
'x,-y,z'
'-y,-x,z'
loop_
_atom_site_label
_atom_site_type_symbol
_atom_site_fract_x
_atom_site_fract_y
_atom_site_fract_z
Co1 Co 0.000 0.000 0.000
Re1 Re 0.500 0.500 0.165
Br1 Br 0.000 0.000 0.375
Br2 Br 0.500 0.500 0.804
```



A plane-wave DFT calculation with GGA-PBE was carried out for an optimized crystal structure of Ho2ScNi2.

E_form: -0.18 eV/atom
ΔE to the lowest computed polymorph: 0.900 eV/f.u.
Calculated volume: 106.01 Å³/f.u.

Cell and atoms, written as CIF:
```
data_Ho2ScNi2
_chemical_formula_sum 'Ho8 Sc4 Ni8'
_space_group_name_H-M_alt 'C m c m'
_space_group_IT_number 63
_space_group_name_Hall '-C 2c 2'
_cell_length_a 5.701
_cell_length_b 13.843
_cell_length_c 5.373
_cell_angle_alpha 90.00
_cell_angle_beta 90.00
_cell_angle_gamma 90.00
loop_
_atom_site_label
_atom_site_type_symbol
_atom_site_fract_x
_atom_site_fract_y
_atom_site_fract_z
Ho1 Ho 0.000 0.079 0.250
Ho2 Ho 0.000 0.282 0.750
Sc1 Sc 0.000 0.500 0.000
Ni1 Ni 0.235 0.119 0.750
```



A plane-wave DFT calculation with GGA-PBE was carried out for an optimized crystal structure of TcNiRh.

E_form: 0.60 eV/atom
ΔE to the lowest computed polymorph: 2.076 eV/f.u.
Calculated volume: 47.66 Å³/f.u.

Cell and atoms, written as CIF:
```
data_TcNiRh
_chemical_formula_sum 'Tc4 Ni4 Rh4'
_space_group_name_H-M_alt 'F -4 3 m'
_space_group_IT_number 216
_space_group_name_Hall 'F -4 2 3'
_cell_length_a 5.755
_cell_length_b 5.755
_cell_length_c 5.755
_cell_angle_alpha 90.00
_cell_angle_beta 90.00
_cell_angle_gamma 90.00
loop_
_atom_site_label
_atom_site_type_symbol
_atom_site_fract_x
_atom_site_fract_y
_atom_site_fract_z
Tc1 Tc 0.000 0.000 0.000
Ni1 Ni 0.000 0.000 0.500
Rh1 Rh 0.250 0.250 0.250
```



A plane-wave DFT calculation with GGA-PBE was carried out for an optimized crystal structure of TbTl2IO8.

Raw formation energy: -1.064 eV per atom
Calculated volume: 176.85 Å³/f.u.

Cell and atoms, written as CIF:
```
data_TbTl2IO8
_chemical_formula_sum 'Tb1 Tl2 I1 O8'
_space_group_name_H-M_alt 'P -1'
_space_group_IT_number 2
_cell_length_a 5.097
_cell_length_b 5.107
_cell_length_c 6.808
_cell_angle_alpha 92.26
_cell_angle_beta 92.36
_cell_angle_gamma 91.66
loop_
_space_group_symop_operation_xyz
'x,y,z'
'-x,-y,-z'
loop_
_atom_site_label
_atom_site_type_symbol
_atom_site_fract_x
_atom_site_fract_y
_atom_site_fract_z
Tb1 Tb 0.000 0.000 0.000
Tl1 Tl 0.477 0.477 0.750
I1 I 0.000 0.000 0.500
O1 O 0.169 0.820 0.292
O2 O 0.188 0.839 0.708
O3 O 0.270 0.281 0.496
O4 O 0.304 0.312 0.018
```



A plane-wave DFT calculation with GGA-PBE was carried out for an optimized crystal structure of Ga2PbF8.

Raw formation energy: -2.493 eV per atom
ΔE to the lowest computed polymorph: 0.000 eV/f.u.
Calculated volume: 232.72 Å³/f.u.

Cell and atoms, written as CIF:
```
data_Ga2PbF8
_chemical_formula_sum 'Ga2 Pb1 F8'
_space_group_name_H-M_alt 'P -3 m 1'
_space_group_IT_number 164
_space_group_name_Hall '-P 3 2"'
_cell_length_a 6.3917
_cell_length_b 6.3917
_cell_length_c 6.5779
_cell_angle_alpha 90.00
_cell_angle_beta 90.00
_cell_angle_gamma 120.00
loop_
_atom_site_label
_atom_site_type_symbol
_atom_site_fract_x
_atom_site_fract_y
_atom_site_fract_z
Ga1 Ga 0.3333 0.6667 0.1801
Pb1 Pb 0.0000 0.0000 0.5000
F1 F 0.1819 0.3638 0.2852
F2 F 0.3333 0.6667 0.9119
```



A plane-wave DFT calculation with GGA-PBE was carried out for an optimized crystal structure of TaCrGe3.

E_form: 0.95 eV/atom
Calculated volume: 96.48 Å³/f.u.

Cell and atoms, written as CIF:
```
data_TaCrGe3
_chemical_formula_sum 'Ta1 Cr1 Ge3'
_space_group_name_H-M_alt 'P m -3 m'
_space_group_IT_number 221
_space_group_name_Hall '-P 4 2 3'
_cell_length_a 4.586
_cell_length_b 4.586
_cell_length_c 4.586
_cell_angle_alpha 90.00
_cell_angle_beta 90.00
_cell_angle_gamma 90.00
loop_
_atom_site_label
_atom_site_type_symbol
_atom_site_fract_x
_atom_site_fract_y
_atom_site_fract_z
Ta1 Ta 0.000 0.000 0.000
Cr1 Cr 0.500 0.500 0.500
Ge1 Ge 0.000 0.500 0.500
```



Q: Which of these has the lowest calculated volume?
A: TcNiRh



Q: Look up the calculated volume of the fifth one.
A: 47.66 Å³/f.u.



What did the third record say?
A plane-wave DFT calculation with GGA-PBE was carried out for an optimized crystal structure of CoReBr2.

Raw formation energy: 0.531 eV per atom
ΔE to the lowest computed polymorph: 0.893 eV/f.u.
Calculated volume: 77.84 Å³/f.u.

Cell and atoms, written as CIF:
```
data_CoReBr2
_chemical_formula_sum 'Co1 Re1 Br2'
_space_group_name_H-M_alt 'P 4 m m'
_space_group_IT_number 99
_cell_length_a 3.031
_cell_length_b 3.031
_cell_length_c 8.476
_cell_angle_alpha 90.00
_cell_angle_beta 90.00
_cell_angle_gamma 90.00
loop_
_space_group_symop_operation_xyz
'x,y,z'
'-y,x,z'
'-x,-y,z'
'y,-x,z'
'-x,y,z'
'y,x,z'
'x,-y,z'
'-y,-x,z'
loop_
_atom_site_label
_atom_site_type_symbol
_atom_site_fract_x
_atom_site_fract_y
_atom_site_fract_z
Co1 Co 0.000 0.000 0.000
Re1 Re 0.500 0.500 0.165
Br1 Br 0.000 0.000 0.375
Br2 Br 0.500 0.500 0.804
```